[1]
Compound: ZnReNi6
Source: the Alexandria database
Functional: GGA-PBEsol
Structure: optimized geometry

a = 6.136 Å, b = 6.136 Å, c = 10.026 Å
α = 90.00°, β = 90.00°, γ = 109.43°
Sites, in units of the cell vectors:
Zn 0.000 0.000 0.247
Zn 0.000 0.000 0.753
Zn 0.249 0.751 0.000
Zn 0.751 0.249 0.000
Re 0.250 0.750 0.500
Re 0.500 0.500 0.241
Re 0.500 0.500 0.759
Re 0.750 0.250 0.500
Ni 0.000 0.000 0.000
Ni 0.000 0.000 0.500
Ni 0.127 0.379 0.376
Ni 0.127 0.379 0.624
Ni 0.128 0.376 0.126
Ni 0.128 0.376 0.874
Ni 0.252 0.748 0.253
Ni 0.252 0.748 0.747
Ni 0.376 0.128 0.126
Ni 0.376 0.128 0.874
Ni 0.379 0.127 0.376
Ni 0.379 0.127 0.624
Ni 0.500 0.500 0.000
Ni 0.500 0.500 0.500
Ni 0.621 0.873 0.376
Ni 0.621 0.873 0.624
Ni 0.624 0.872 0.126
Ni 0.624 0.872 0.874
Ni 0.748 0.252 0.253
Ni 0.748 0.252 0.747
Ni 0.872 0.624 0.126
Ni 0.872 0.624 0.874
Ni 0.873 0.621 0.376
Ni 0.873 0.621 0.624

Summary:
Its crystal system is orthorhombic. The volume comes out at 11.124 Å³/atom. Its space group is Cmmm, No. 65. For the formation energy, the calculation gives -0.080 eV per atom.

[2]
Compound: Co2SiNi
Source: the Alexandria database
Functional: GGA-PBEsol
Structure: optimized geometry

a = 2.541 Å, b = 3.258 Å, c = 4.980 Å
α = 90.00°, β = 90.00°, γ = 90.00°
Sites, in units of the cell vectors:
Co 0.000 0.000 0.244
Co 0.000 0.000 0.756
Si 0.500 0.500 0.000
Ni 0.500 0.500 0.500

Summary:
Its crystal system is orthorhombic. The volume comes out at 10.305 Å³/atom. The total energy is -7.126 eV per atom. Its space group is Pmmm, No. 47.

[3]
Compound: Dy6Al7Cu16
Source: the Alexandria database
Functional: GGA-PBEsol
Structure: optimized geometry

a = 8.590 Å, b = 8.590 Å, c = 8.590 Å
α = 60.00°, β = 60.00°, γ = 60.00°
Sites, in units of the cell vectors:
Dy 0.213 0.213 0.787
Dy 0.213 0.787 0.213
Dy 0.213 0.787 0.787
Dy 0.787 0.213 0.213
Dy 0.787 0.213 0.787
Dy 0.787 0.787 0.213
Al 0.000 0.000 0.500
Al 0.000 0.500 0.000
Al 0.000 0.500 0.500
Al 0.500 0.000 0.000
Al 0.500 0.000 0.500
Al 0.500 0.500 0.000
Al 0.500 0.500 0.500
Cu 0.134 0.622 0.622
Cu 0.174 0.174 0.174
Cu 0.174 0.174 0.479
Cu 0.174 0.479 0.174
Cu 0.378 0.378 0.378
Cu 0.378 0.378 0.866
Cu 0.378 0.866 0.378
Cu 0.479 0.174 0.174
Cu 0.521 0.826 0.826
Cu 0.622 0.134 0.622
Cu 0.622 0.622 0.134
Cu 0.622 0.622 0.622
Cu 0.826 0.521 0.826
Cu 0.826 0.826 0.521
Cu 0.826 0.826 0.826
Cu 0.866 0.378 0.378

Summary:
Its crystal system is cubic. The volume comes out at 15.454 Å³/atom. Its space group is Fm-3m, No. 225. For the formation energy, the calculation gives -0.378 eV per atom.

[4]
Compound: Nd7Al7Co6
Source: the Alexandria database
Functional: GGA-PBEsol
Structure: optimized geometry

a = 13.609 Å, b = 13.609 Å, c = 4.136 Å
α = 90.00°, β = 90.00°, γ = 90.00°
Sites, in units of the cell vectors:
Nd 0.000 0.000 0.000
Nd 0.047 0.262 0.000
Nd 0.131 0.631 0.500
Nd 0.238 0.453 0.000
Nd 0.262 0.953 0.000
Nd 0.369 0.131 0.500
Nd 0.453 0.762 0.000
Nd 0.500 0.500 0.000
Nd 0.547 0.238 0.000
Nd 0.631 0.869 0.500
Nd 0.738 0.047 0.000
Nd 0.762 0.547 0.000
Nd 0.869 0.369 0.500
Nd 0.953 0.738 0.000
Al 0.000 0.500 0.000
Al 0.097 0.862 0.500
Al 0.138 0.097 0.500
Al 0.214 0.286 0.500
Al 0.286 0.786 0.500
Al 0.362 0.597 0.500
Al 0.403 0.362 0.500
Al 0.500 0.000 0.000
Al 0.597 0.638 0.500
Al 0.638 0.403 0.500
Al 0.714 0.214 0.500
Al 0.786 0.714 0.500
Al 0.862 0.903 0.500
Al 0.903 0.138 0.500
Co 0.074 0.426 0.500
Co 0.165 0.789 0.000
Co 0.211 0.165 0.000
Co 0.289 0.665 0.000
Co 0.335 0.289 0.000
Co 0.426 0.926 0.500
Co 0.574 0.074 0.500
Co 0.665 0.711 0.000
Co 0.711 0.335 0.000
Co 0.789 0.835 0.000
Co 0.835 0.211 0.000
Co 0.926 0.574 0.500

Summary:
Its crystal system is tetragonal. The volume comes out at 19.152 Å³/atom. Its space group is P4/mbm, No. 127. For the formation energy, the calculation gives -0.382 eV per atom.

[5]
Compound: TcAs2Pt
Source: the Alexandria database
Functional: GGA-PBEsol
Structure: optimized geometry

a = 4.413 Å, b = 4.413 Å, c = 4.413 Å
α = 60.00°, β = 60.00°, γ = 60.00°
Sites, in units of the cell vectors:
Tc 0.000 0.000 0.000
As 0.250 0.250 0.250
As 0.750 0.750 0.750
Pt 0.500 0.500 0.500

Summary:
Its crystal system is cubic. The volume comes out at 15.194 Å³/atom. Its space group is Fm-3m, No. 225. For the energy relative to the lowest polymorph listed for this composition, the calculation gives 0 meV/atom. For the formation energy, the calculation gives 0.145 eV per atom.

[6]
Compound: TlTc2Ru
Source: the Alexandria database
Functional: GGA-PBEsol
Structure: optimized geometry

a = 2.785 Å, b = 2.785 Å, c = 9.230 Å
α = 90.00°, β = 90.00°, γ = 117.30°
Sites, in units of the cell vectors:
Tl 0.000 0.000 0.000
Tc 0.500 0.500 0.269
Tc 0.500 0.500 0.731
Ru 0.000 0.000 0.500

Summary:
Its crystal system is orthorhombic. The volume comes out at 15.899 Å³/atom. Its space group is Cmmm, No. 65. For the energy relative to the lowest polymorph listed for this composition, the calculation gives 311 meV/atom. For the formation energy, the calculation gives 0.760 eV per atom.

| no. | size of the total moment (μB per formula unit) |
| --- | --- |
| 1 | 0.001 |
| 2 | 1.673 |
| 3 | 0.001 |
| 4 | 0.000 |
| 5 | 1.162 |
| 6 | 0.001 |